1.
# LaCdTe3

A relaxed structure of LaCdTe3 (PBE, Alexandria).

Values from the calculation:
The calculation puts the raw formation energy at -0.141 eV/atom. As for the relative energy among the computed polymorphs: 1.008 eV per formula unit. Its space group is Pm-3m.

Structure (POSCAR):
```
LaCdTe3
1.0
6.167 0.000 0.000
0.000 6.167 0.000
0.000 0.000 6.167
La Cd Te
1 1 3
direct
0.000 0.000 0.000
0.500 0.500 0.500
0.000 0.000 0.500
0.000 0.500 0.000
0.500 0.000 0.000
```


2.
# LaSb2S4

A relaxed structure of LaSb2S4 (PBE, Alexandria).

Values from the calculation:
The calculation puts the raw formation energy at -0.466 eV/atom. As for the relative energy among the computed polymorphs: 2.096 eV per formula unit. Its space group is I4/m.

Structure (POSCAR):
```
LaSb2S4
1.0
-3.741 3.741 3.735
3.741 -3.741 3.735
3.741 3.741 -3.735
La Sb S
1 2 4
direct
0.000 0.000 0.000
0.250 0.750 0.500
0.750 0.250 0.500
0.194 0.323 0.517
0.323 0.806 0.129
0.677 0.194 0.871
0.806 0.677 0.483
```


3.
# RbTlSe2

A relaxed structure of RbTlSe2 (PBE, Alexandria).

Values from the calculation:
The calculation puts the raw formation energy at -0.641 eV/atom. As for the relative energy among the computed polymorphs: 0.105 eV per formula unit. Its space group is Fdd2.

Structure (POSCAR):
```
RbTlSe2
1.0
0.000 5.850 4.965
5.164 0.000 4.965
5.164 5.850 0.000
Rb Tl Se
2 2 4
direct
0.000 0.000 0.000
0.250 0.250 0.250
0.553 0.553 0.447
0.803 0.803 0.697
0.206 0.691 0.372
0.519 0.878 0.559
0.691 0.206 0.731
0.878 0.519 0.044
```


4.
# Ba2SiPd2

A relaxed structure of Ba2SiPd2 (PBE, Alexandria).

Values from the calculation:
The calculation puts the raw formation energy at -0.335 eV/atom. Its space group is P4/mbm.

Structure (POSCAR):
```
Ba2SiPd2
1.0
7.258 0.000 0.000
0.000 7.258 0.000
0.000 0.000 4.907
Ba Si Pd
4 2 4
direct
0.179 0.321 0.000
0.321 0.821 0.000
0.679 0.179 0.000
0.821 0.679 0.000
0.000 0.000 0.500
0.500 0.500 0.500
0.140 0.640 0.500
0.360 0.140 0.500
0.640 0.860 0.500
0.860 0.360 0.500
```


5.
# AgTeOsO2

A relaxed structure of AgTeOsO2 (PBE, Alexandria).

Values from the calculation:
The calculation puts the raw formation energy at -0.395 eV/atom. Its space group is P4/mmm.

Structure (POSCAR):
```
AgTeOsO2
1.0
3.857 0.000 0.000
0.000 3.857 0.000
0.000 0.000 5.839
Ag Te Os O
1 1 1 2
direct
0.000 0.000 0.000
0.500 0.500 0.000
0.500 0.500 0.500
0.000 0.500 0.500
0.500 0.000 0.500
```


6.
# KRb2GeRh

A relaxed structure of KRb2GeRh (PBE, Alexandria).

Values from the calculation:
The value obtained for the formation energy is 3.84 eV per formula unit. Its space group is P4/mmm.

Structure (POSCAR):
```
KRb2GeRh
1.0
5.913 0.000 0.000
0.000 5.913 0.000
0.000 0.000 6.079
K Rb Ge Rh
1 2 1 1
direct
0.000 0.000 0.000
0.000 0.500 0.500
0.500 0.000 0.500
0.500 0.500 0.000
0.000 0.000 0.500
```


7.
# Pd7Au

A relaxed structure of Pd7Au (PBE, Alexandria).

Values from the calculation:
The value obtained for the formation energy is -0.13 eV per formula unit. Its space group is Fm-3m.

Structure (POSCAR):
```
Pd7Au
1.0
0.000 3.976 3.976
3.976 0.000 3.976
3.976 3.976 0.000
Pd Au
7 1
direct
0.000 0.000 0.000
0.000 0.000 0.500
0.000 0.500 0.000
0.000 0.500 0.500
0.500 0.000 0.000
0.500 0.000 0.500
0.500 0.500 0.000
0.500 0.500 0.500
```


8.
# Cs2AlSCl6

A relaxed structure of Cs2AlSCl6 (PBE, Alexandria).

Values from the calculation:
The calculation puts the raw formation energy at -1.269 eV/atom. Its space group is I4/mmm.

Structure (POSCAR):
```
Cs2AlSCl6
1.0
-4.006 4.006 4.930
4.006 -4.006 4.930
4.006 4.006 -4.930
Cs Al S Cl
2 1 1 6
direct
0.250 0.750 0.500
0.750 0.250 0.500
0.000 0.000 0.000
0.500 0.500 0.000
0.200 0.200 0.401
0.200 0.800 0.000
0.267 0.267 0.000
0.733 0.733 0.000
0.800 0.200 0.000
0.800 0.800 0.599
```


9.
# Co2As

A relaxed structure of Co2As (PBE, Alexandria).

Values from the calculation:
The value obtained for the formation energy is 1.00 eV per formula unit. Its space group is Fd-3m.

Structure (POSCAR):
```
Co2As
1.0
0.000 3.408 3.408
3.408 0.000 3.408
3.408 3.408 0.000
Co As
4 2
direct
0.000 0.000 0.000
0.000 0.000 0.500
0.000 0.500 0.000
0.500 0.000 0.000
0.375 0.375 0.375
0.625 0.625 0.625
```


10.
# TmSi2Pd

A relaxed structure of TmSi2Pd (PBE, Alexandria).

Values from the calculation:
The calculation puts the raw formation energy at -0.775 eV/atom. Its space group is Pnma.

Structure (POSCAR):
```
TmSi2Pd
1.0
13.284 0.000 0.000
0.000 4.048 0.000
0.000 0.000 10.496
Tm Si Pd
8 16 8
direct
0.049 0.250 0.245
0.199 0.750 0.971
0.301 0.250 0.471
0.451 0.750 0.745
0.549 0.250 0.255
0.699 0.750 0.529
0.801 0.250 0.029
0.951 0.750 0.755
0.031 0.250 0.958
0.116 0.250 0.768
0.126 0.750 0.458
0.206 0.750 0.261
0.294 0.250 0.761
0.374 0.250 0.958
0.384 0.750 0.268
0.469 0.750 0.458
0.531 0.250 0.542
0.616 0.250 0.732
0.626 0.750 0.042
0.706 0.750 0.239
0.794 0.250 0.739
0.874 0.250 0.542
0.884 0.750 0.232
0.969 0.750 0.042
0.061 0.250 0.555
0.210 0.750 0.675
0.290 0.250 0.175
0.439 0.750 0.055
0.561 0.250 0.945
0.710 0.750 0.825
0.790 0.250 0.325
0.939 0.750 0.445
```


11.
# LaPm6Nd

A relaxed structure of LaPm6Nd (PBE, Alexandria).

Values from the calculation:
The value obtained for the formation energy is 0.13 eV per formula unit. Its space group is P4/mmm.

Structure (POSCAR):
```
LaPm6Nd
1.0
5.185 0.000 0.000
0.000 5.185 0.000
0.000 0.000 10.376
La Pm Nd
1 6 1
direct
0.000 0.000 0.000
0.000 0.500 0.252
0.000 0.500 0.748
0.500 0.000 0.252
0.500 0.000 0.748
0.500 0.500 0.000
0.500 0.500 0.500
0.000 0.000 0.500
```


12.
# La2Mg3Hg2

A relaxed structure of La2Mg3Hg2 (PBE, Alexandria).

Values from the calculation:
The value obtained for the formation energy is -2.36 eV per formula unit. As for the relative energy among the computed polymorphs: 0.000 eV per formula unit. Its space group is C2/m.

Structure (POSCAR):
```
La2Mg3Hg2
1.0
5.432 -2.428 0.000
5.432 2.428 0.000
-2.790 0.000 7.161
La Mg Hg
2 3 2
direct
0.138 0.138 0.275
0.862 0.862 0.725
0.380 0.380 0.069
0.500 0.500 0.500
0.620 0.620 0.931
0.158 0.158 0.715
0.842 0.842 0.285
```


13.
# ZrTl2Co

A relaxed structure of ZrTl2Co (PBE, Alexandria).

Values from the calculation:
The value obtained for the formation energy is 1.67 eV per formula unit. Its space group is I-42d.

Structure (POSCAR):
```
ZrTl2Co
1.0
-3.844 3.844 2.924
3.844 -3.844 2.924
3.844 3.844 -2.924
Zr Tl Co
2 4 2
direct
0.000 0.000 0.000
0.750 0.250 0.500
0.167 0.625 0.042
0.375 0.417 0.542
0.583 0.125 0.958
0.875 0.833 0.458
0.250 0.750 0.500
0.500 0.500 0.000
```


14.
# CaNd2WN4

A relaxed structure of CaNd2WN4 (PBE, Alexandria).

Values from the calculation:
The calculation puts the raw formation energy at -0.884 eV/atom. Its space group is Cmcm.

Structure (POSCAR):
```
CaNd2WN4
1.0
1.766 -6.100 0.000
1.766 6.100 0.000
0.000 0.000 12.485
Ca Nd W N
2 4 2 8
direct
0.105 0.895 0.750
0.895 0.105 0.250
0.369 0.631 0.535
0.369 0.631 0.965
0.631 0.369 0.035
0.631 0.369 0.465
0.165 0.835 0.250
0.835 0.165 0.750
0.000 0.000 0.000
0.000 0.000 0.500
0.263 0.737 0.132
0.263 0.737 0.368
0.415 0.585 0.750
0.585 0.415 0.250
0.737 0.263 0.632
0.737 0.263 0.868
```


15.
# Er2SnIr

A relaxed structure of Er2SnIr (PBE, Alexandria).

Values from the calculation:
The value obtained for the formation energy is -2.40 eV per formula unit. As for the relative energy among the computed polymorphs: 0.721 eV per formula unit. Its space group is R-3m.

Structure (POSCAR):
```
Er2SnIr
1.0
1.903 1.099 8.305
-1.903 1.099 8.305
0.000 -2.197 8.305
Er Sn Ir
2 1 1
direct
0.233 0.233 0.233
0.767 0.767 0.767
0.000 0.000 0.000
0.500 0.500 0.500
```


16.
# TiVCr2W

A relaxed structure of TiVCr2W (PBE, Alexandria).

Values from the calculation:
The value obtained for the formation energy is 7.32 eV per formula unit. Its space group is P4/mmm.

Structure (POSCAR):
```
TiVCr2W
1.0
4.227 0.000 0.000
0.000 4.227 0.000
0.000 0.000 4.306
Ti V Cr W
1 1 2 1
direct
0.000 0.000 0.000
0.000 0.000 0.500
0.000 0.500 0.000
0.500 0.000 0.000
0.500 0.500 0.500
```


17.
# KHg3

A relaxed structure of KHg3 (PBE, Alexandria).

Values from the calculation:
The value obtained for the formation energy is -0.67 eV per formula unit. Its space group is R-3m.

Structure (POSCAR):
```
KHg3
1.0
2.306 1.331 7.681
-2.306 1.331 7.681
0.000 -2.663 7.681
K Hg
1 3
direct
0.000 0.000 0.000
0.236 0.236 0.236
0.500 0.500 0.500
0.764 0.764 0.764
```


18.
# Tb3Dy2Os2

A relaxed structure of Tb3Dy2Os2 (PBE, Alexandria).

Values from the calculation:
The value obtained for the formation energy is -1.61 eV per formula unit. Its space group is C2/m.

Structure (POSCAR):
```
Tb3Dy2Os2
1.0
5.986 -1.985 0.000
5.986 1.985 0.000
-3.177 0.000 7.665
Tb Dy Os
3 2 2
direct
0.000 0.000 0.000
0.124 0.124 0.431
0.876 0.876 0.569
0.334 0.334 0.184
0.666 0.666 0.816
0.322 0.322 0.784
0.678 0.678 0.216
```


19.
# Cd3MoN

A relaxed structure of Cd3MoN (PBE, Alexandria).

Values from the calculation:
The calculation puts the raw formation energy at 1.070 eV/atom. Its space group is Pm-3m.

Structure (POSCAR):
```
Cd3MoN
1.0
4.595 0.000 0.000
0.000 4.595 0.000
0.000 0.000 4.595
Cd Mo N
3 1 1
direct
0.000 0.000 0.500
0.000 0.500 0.000
0.500 0.000 0.000
0.500 0.500 0.500
0.000 0.000 0.000
```


20.
# LiBeRh3

A relaxed structure of LiBeRh3 (PBE, Alexandria).

Values from the calculation:
The value obtained for the formation energy is 0.75 eV per formula unit. As for the relative energy among the computed polymorphs: 0.000 eV per formula unit. Its space group is Pm-3m.

Structure (POSCAR):
```
LiBeRh3
1.0
4.137 0.000 0.000
0.000 4.137 0.000
0.000 0.000 4.137
Li Be Rh
1 1 3
direct
0.000 0.000 0.000
0.500 0.500 0.500
0.000 0.500 0.500
0.500 0.000 0.500
0.500 0.500 0.000
```


21.
# OsRuPt2

A relaxed structure of OsRuPt2 (PBE, Alexandria).

Values from the calculation:
The value obtained for the formation energy is 0.53 eV per formula unit. As for the relative energy among the computed polymorphs: 0.567 eV per formula unit. Its space group is R-3m.

Structure (POSCAR):
```
OsRuPt2
1.0
1.373 0.793 9.079
-1.373 0.793 9.079
0.000 -1.586 9.079
Os Ru Pt
1 1 2
direct
0.000 0.000 0.000
0.500 0.500 0.500
0.250 0.250 0.250
0.750 0.750 0.750
```


22.
# TbPuPa

A relaxed structure of TbPuPa (PBE, Alexandria).

Values from the calculation:
The value obtained for the formation energy is 0.39 eV per formula unit. As for the relative energy among the computed polymorphs: 0.000 eV per formula unit. Its space group is I4mm.

Structure (POSCAR):
```
TbPuPa
1.0
-1.708 1.708 6.913
1.708 -1.708 6.913
1.708 1.708 -6.913
Tb Pu Pa
1 1 1
direct
0.000 0.000 0.000
0.690 0.690 0.000
0.330 0.330 0.000
```


23.
# SmBi2PdO6

A relaxed structure of SmBi2PdO6 (PBE, Alexandria).

Values from the calculation:
The calculation puts the raw formation energy at -1.449 eV/atom. Its space group is P1.

Structure (POSCAR):
```
SmBi2PdO6
1.0
5.722 0.000 0.000
0.001 6.049 0.000
2.819 2.968 4.549
Sm Bi Pd O
1 2 1 6
direct
0.000 0.000 0.000
0.205 0.648 0.570
0.733 0.171 0.552
0.520 0.550 0.944
0.130 0.318 0.496
0.286 0.787 0.838
0.386 0.328 0.823
0.645 0.833 0.997
0.814 0.361 0.996
0.872 0.841 0.473
```


24.
# CaRhPb2C

A relaxed structure of CaRhPb2C (PBE, Alexandria).

Values from the calculation:
The value obtained for the formation energy is 5.06 eV per formula unit. Its space group is P4/mmm.

Structure (POSCAR):
```
CaRhPb2C
1.0
5.180 0.000 0.000
0.000 5.180 0.000
0.000 0.000 5.342
Ca Rh Pb C
1 1 2 1
direct
0.000 0.000 0.000
0.000 0.000 0.500
0.000 0.500 0.500
0.500 0.000 0.500
0.500 0.500 0.000
```


25.
# Ba6Na2HgRh

A relaxed structure of Ba6Na2HgRh (PBE, Alexandria).

Values from the calculation:
The value obtained for the formation energy is -1.64 eV per formula unit. Its space group is I4/mmm.

Structure (POSCAR):
```
Ba6Na2HgRh
1.0
-4.571 4.571 6.449
4.571 -4.571 6.449
4.571 4.571 -6.449
Ba Na Hg Rh
6 2 1 1
direct
0.237 0.237 0.475
0.237 0.763 0.000
0.238 0.238 0.000
0.762 0.762 0.000
0.763 0.237 0.000
0.763 0.763 0.525
0.250 0.750 0.500
0.750 0.250 0.500
0.500 0.500 0.000
0.000 0.000 0.000
```


| no. | total energy (eV for the cell shown) | calculated density (g/cm3) |
| --- | --- | --- |
| 1 | -15.97 | 4.49 |
| 2 | -32.95 | 4.06 |
| 3 | -25.74 | 4.96 |
| 4 | -42.66 | 6.62 |
| 5 | -29.11 | 8.75 |
| 6 | -11.16 | 3.01 |
| 7 | -39.76 | 12.45 |
| 8 | -33.35 | 2.82 |
| 9 | -35.73 | 8.08 |
| 10 | -188.87 | 7.80 |
| 11 | -38.07 | 6.86 |
| 12 | -17.60 | 6.61 |
| 13 | -37.43 | 10.74 |
| 14 | -129.72 | 7.02 |
| 15 | -24.39 | 10.29 |
| 16 | -41.90 | 8.35 |
| 17 | -2.67 | 7.52 |
| 18 | -47.17 | 10.78 |
| 19 | -16.55 | 7.65 |
| 20 | -26.94 | 7.62 |
| 21 | -32.06 | 19.08 |
| 22 | -28.07 | 13.04 |
| 23 | -61.91 | 8.13 |
| 24 | -20.93 | 6.60 |
| 25 | -23.47 | 3.62 |